A geometry-optimized Mg3Fe3P4O16 structure, computed with PBE+U.

```
data_Mg3Fe3P4O16
_symmetry_space_group_name_H-M 'P 1'
_symmetry_Int_Tables_number 1
_symmetry_space_group_name_Hall 'P 1'
_cell_length_a 5.175
_cell_length_b 7.772
_cell_length_c 8.428
_cell_angle_alpha 89.84
_cell_angle_beta 89.79
_cell_angle_gamma 94.71
loop_
_atom_site_label
_atom_site_type_symbol
_atom_site_fract_x
_atom_site_fract_y
_atom_site_fract_z
_atom_site_occupancy
O1 O 0.317 0.564 0.361 1
O2 O 0.199 0.377 0.693 1
O3 O 0.300 0.122 0.193 1
O4 O 0.681 0.432 0.636 1
O5 O 0.818 0.067 0.136 1
O6 O 0.189 0.931 0.857 1
O7 O 0.547 0.856 0.429 1
O8 O 0.548 0.240 0.861 1
O9 O 0.058 0.737 0.639 1
O10 O 0.950 0.260 0.360 1
Fe1 Fe 0.088 0.618 0.147 1
O11 O 0.443 0.138 0.581 1
P1 P 0.464 0.297 0.692 1
Fe2 Fe 0.910 0.384 0.854 1
Mg1 Mg 0.410 0.888 0.647 1
O12 O 0.703 0.879 0.801 1
Mg2 Mg 0.000 0.501 0.500 1
O13 O 0.941 0.643 0.923 1
P2 P 0.035 0.202 0.191 1
Mg3 Mg 0.502 0.999 0.999 1
O14 O 0.800 0.625 0.309 1
P3 P 0.533 0.703 0.311 1
O15 O 0.058 0.360 0.077 1
O16 O 0.452 0.764 0.143 1
Fe3 Fe 0.587 0.115 0.354 1
P4 P 0.966 0.798 0.805 1
```

The calculated density comes out at 3.0 Mg/m³. Its total DFT energy (no corrections) is -182.62 eV/cell. The value obtained for the density of states at the Fermi level is 0.00 states/eV/atom.